No. 1
! LiSnAu GGA-PBE optimized geometry; values from VASP
! - ρ (g/cm3) = 8.250
! - uncorrected energy (eV/atom) = -3.47
! - distance to the lowest polymorph of the same formula (eV/f.u.) = 0.076
&SYSTEM
  ibrav = 0, nat = 3, ntyp = 3
/
ATOMIC_SPECIES
Au 196.97 Au.upf
Li 6.94 Li.upf
Sn 118.71 Sn.upf
ATOMIC_POSITIONS crystal
Au 0.000 0.000 0.000
Li 0.250 0.250 0.250
Sn 0.750 0.750 0.750
CELL_PARAMETERS angstrom
0.490 -4.407 0.835
0.732 -1.429 4.216
-3.226 -2.249 2.212

No. 2
! ScNbSnC GGA-PBE optimized geometry; values from VASP
! - ρ (g/cm3) = 6.637
! - M_tot (μB per formula unit) = 0.003
! - uncorrected energy (eV/atom) = -8.01
! - distance to the lowest polymorph of the same formula (eV/f.u.) = 0.000
&SYSTEM
  ibrav = 0, nat = 8, ntyp = 4
/
ATOMIC_SPECIES
C 12.01 C.upf
Nb 92.91 Nb.upf
Sc 44.96 Sc.upf
Sn 118.71 Sn.upf
ATOMIC_POSITIONS crystal
C 0.000 0.000 0.497
C 0.000 0.000 0.997
Nb 0.333 0.667 0.416
Nb 0.667 0.333 0.916
Sc 0.333 0.667 0.083
Sc 0.667 0.333 0.583
Sn 0.667 0.333 0.254
Sn 0.333 0.667 0.754
CELL_PARAMETERS angstrom
3.268 0.000 0.000
-1.634 2.831 0.000
0.000 0.000 14.527

No. 3
! LuTc2Pb2 GGA-PBE optimized geometry; values from VASP
! - ρ (g/cm3) = 11.429
! - M_tot (μB per formula unit) = 0.000
! - uncorrected energy (eV/atom) = -6.15
! - distance to the lowest polymorph of the same formula (eV/f.u.) = 0.000
&SYSTEM
  ibrav = 0, nat = 5, ntyp = 3
/
ATOMIC_SPECIES
Lu 174.97 Lu.upf
Pb 207.20 Pb.upf
Tc 98.00 Tc.upf
ATOMIC_POSITIONS crystal
Lu 0.000 0.000 0.000
Pb 0.750 0.250 0.500
Pb 0.250 0.750 0.500
Tc 0.397 0.397 0.000
Tc 0.603 0.603 0.000
CELL_PARAMETERS angstrom
1.523 4.261 4.371
-4.623 2.242 3.630
2.077 -5.641 -1.854

No. 4
! HfSb2 GGA-PBE optimized geometry; values from VASP
! - ρ (g/cm3) = 8.987
! - M_tot (μB per formula unit) = 0.085
! - uncorrected energy (eV/atom) = -5.51
&SYSTEM
  ibrav = 0, nat = 6, ntyp = 2
/
ATOMIC_SPECIES
Hf 178.49 Hf.upf
Sb 121.76 Sb.upf
ATOMIC_POSITIONS crystal
Hf 0.000 0.000 0.000
Hf 0.250 0.250 0.250
Sb 0.625 0.625 0.125
Sb 0.625 0.125 0.625
Sb 0.125 0.625 0.625
Sb 0.625 0.625 0.625
CELL_PARAMETERS angstrom
0.000 4.272 4.272
4.272 0.000 4.272
4.272 4.272 0.000

No. 5
! Gd2CuAgSb4 GGA-PBE optimized geometry; values from VASP
! - ρ (g/cm3) = 8.414
! - M_tot (μB per formula unit) = 0.001
! - uncorrected energy (eV/atom) = -4.67
&SYSTEM
  ibrav = 0, nat = 8, ntyp = 4
/
ATOMIC_SPECIES
Ag 107.87 Ag.upf
Cu 63.55 Cu.upf
Gd 157.25 Gd.upf
Sb 121.76 Sb.upf
ATOMIC_POSITIONS crystal
Ag 0.000 0.000 0.000
Cu 0.500 0.500 0.000
Gd 0.000 0.500 0.257
Gd 0.500 0.000 0.743
Sb 0.500 0.000 0.174
Sb 0.000 0.000 0.500
Sb 0.500 0.500 0.500
Sb 0.000 0.500 0.826
CELL_PARAMETERS angstrom
-3.604 -0.063 2.426
-0.251 -4.310 -0.485
5.650 -1.271 8.362

No. 6
! ZrNb GGA-PBE optimized geometry; values from VASP
! - ρ (g/cm3) = 7.416
! - M_tot (μB per formula unit) = 0.001
! - uncorrected energy (eV/atom) = -9.18
! - formation energy (eV/atom) = 0.143
&SYSTEM
  ibrav = 0, nat = 12, ntyp = 2
/
ATOMIC_SPECIES
Nb 92.91 Nb.upf
Zr 91.22 Zr.upf
ATOMIC_POSITIONS crystal
Nb 0.526 0.140 0.000
Nb 0.026 0.694 0.000
Nb 0.799 0.216 0.500
Nb 0.321 0.296 0.500
Nb 0.821 0.537 0.500
Nb 0.299 0.618 0.500
Zr 0.003 0.036 0.000
Zr 0.045 0.367 0.000
Zr 0.545 0.466 0.000
Zr 0.503 0.797 0.000
Zr 0.806 0.856 0.500
Zr 0.306 0.977 0.500
CELL_PARAMETERS angstrom
-5.365 -0.188 -1.927
-2.126 -5.799 6.490
-1.174 3.687 2.910

No. 7
! Nd2TlCuNi GGA-PBE optimized geometry; values from VASP
! - ρ (g/cm3) = 8.843
! - M_tot (μB per formula unit) = 0.022
! - uncorrected energy (eV/atom) = -4.59
&SYSTEM
  ibrav = 0, nat = 5, ntyp = 4
/
ATOMIC_SPECIES
Cu 63.55 Cu.upf
Nd 144.24 Nd.upf
Ni 58.69 Ni.upf
Tl 204.38 Tl.upf
ATOMIC_POSITIONS crystal
Cu 0.000 0.797 0.797
Nd 0.500 0.363 0.363
Nd 0.500 0.635 0.635
Ni 0.000 0.203 0.203
Tl 0.000 0.002 0.002
CELL_PARAMETERS angstrom
3.789 0.000 0.000
0.000 2.079 7.332
0.000 -2.079 7.332

No. 8
! MgTaOs2 GGA-PBE optimized geometry; values from VASP
! - ρ (g/cm3) = 15.672
! - M_tot (μB per formula unit) = 0.001
! - uncorrected energy (eV/atom) = -9.09
&SYSTEM
  ibrav = 0, nat = 16, ntyp = 3
/
ATOMIC_SPECIES
Mg 24.30 Mg.upf
Os 190.23 Os.upf
Ta 180.95 Ta.upf
ATOMIC_POSITIONS crystal
Mg 0.000 0.250 0.000
Mg 0.000 0.750 0.000
Mg 0.500 0.250 0.500
Mg 0.500 0.750 0.500
Os 0.750 0.000 0.250
Os 0.750 0.500 0.250
Os 0.250 0.000 0.250
Os 0.250 0.500 0.250
Os 0.750 0.000 0.750
Os 0.750 0.500 0.750
Os 0.250 0.000 0.750
Os 0.250 0.500 0.750
Ta 0.500 0.250 0.000
Ta 0.500 0.750 0.000
Ta 0.000 0.250 0.500
Ta 0.000 0.750 0.500
CELL_PARAMETERS angstrom
-5.954 -0.756 1.752
1.848 -3.982 4.563
0.559 4.816 3.976

No. 9
! KTbFeS3 GGA-PBE optimized geometry; values from VASP
! - ρ (g/cm3) = 3.958
! - M_tot (μB per formula unit) = 3.999
! - uncorrected energy (eV/atom) = -5.73
! - distance to the lowest polymorph of the same formula (eV/f.u.) = 0.086
&SYSTEM
  ibrav = 0, nat = 24, ntyp = 4
/
ATOMIC_SPECIES
Fe 55.84 Fe.upf
K 39.10 K.upf
S 32.06 S.upf
Tb 158.93 Tb.upf
ATOMIC_POSITIONS crystal
Fe 0.233 0.250 0.219
Fe 0.733 0.250 0.281
Fe 0.267 0.750 0.719
Fe 0.767 0.750 0.781
K 0.779 0.250 0.006
K 0.279 0.250 0.494
K 0.721 0.750 0.506
K 0.221 0.750 0.994
S 0.406 0.250 0.121
S 0.049 0.250 0.132
S 0.737 0.750 0.188
S 0.237 0.750 0.312
S 0.549 0.250 0.368
S 0.906 0.250 0.379
S 0.094 0.750 0.621
S 0.451 0.750 0.632
S 0.763 0.250 0.688
S 0.263 0.250 0.812
S 0.951 0.750 0.868
S 0.594 0.750 0.879
Tb 0.484 0.750 0.242
Tb 0.984 0.750 0.258
Tb 0.016 0.250 0.742
Tb 0.516 0.250 0.758
CELL_PARAMETERS angstrom
10.498 0.000 0.000
0.000 3.986 0.000
0.000 0.000 14.041

No. 10
! TbHoAg2O4 GGA-PBE optimized geometry; values from VASP
! - ρ (g/cm3) = 7.613
! - M_tot (μB per formula unit) = 0.000
! - uncorrected energy (eV/atom) = -6.62
&SYSTEM
  ibrav = 0, nat = 8, ntyp = 4
/
ATOMIC_SPECIES
Ag 107.87 Ag.upf
Ho 164.93 Ho.upf
O 16.00 O.upf
Tb 158.93 Tb.upf
ATOMIC_POSITIONS crystal
Ag 0.333 0.667 0.251
Ag 0.667 0.333 0.749
Ho 0.000 0.000 0.500
O 0.333 0.667 0.085
O 0.333 0.667 0.417
O 0.667 0.333 0.583
O 0.667 0.333 0.915
Tb 0.000 0.000 0.000
CELL_PARAMETERS angstrom
3.490 0.000 0.000
-1.745 3.023 0.000
0.000 0.000 12.478

No. 11
! RbTmSe2O8 GGA-PBE optimized geometry; values from VASP
! - ρ (g/cm3) = 4.331
! - M_tot (μB per formula unit) = 0.002
! - uncorrected energy (eV/atom) = -5.88
&SYSTEM
  ibrav = 0, nat = 12, ntyp = 4
/
ATOMIC_SPECIES
O 16.00 O.upf
Rb 85.47 Rb.upf
Se 78.96 Se.upf
Tm 168.93 Tm.upf
ATOMIC_POSITIONS crystal
O 0.348 0.174 0.179
O 0.826 0.174 0.179
O 0.826 0.652 0.179
O 0.667 0.333 0.475
O 0.333 0.667 0.525
O 0.174 0.348 0.821
O 0.174 0.826 0.821
O 0.652 0.826 0.821
Rb 0.000 0.000 0.500
Se 0.667 0.333 0.259
Se 0.333 0.667 0.741
Tm 0.000 0.000 0.000
CELL_PARAMETERS angstrom
5.622 0.000 0.000
-2.811 4.869 0.000
0.000 0.000 7.568

No. 12
! RbTb2CuSeS3 GGA-PBE optimized geometry; values from VASP
! - ρ (g/cm3) = 5.418
! - M_tot (μB per formula unit) = 0.000
! - uncorrected energy (eV/atom) = -5.34
&SYSTEM
  ibrav = 0, nat = 16, ntyp = 5
/
ATOMIC_SPECIES
Cu 63.55 Cu.upf
Rb 85.47 Rb.upf
S 32.06 S.upf
Se 78.96 Se.upf
Tb 158.93 Tb.upf
ATOMIC_POSITIONS crystal
Cu 0.670 0.330 0.250
Cu 0.330 0.670 0.750
Rb 0.384 0.616 0.250
Rb 0.616 0.384 0.750
S 0.500 0.500 0.000
S 0.758 0.242 0.108
S 0.758 0.242 0.392
S 0.500 0.500 0.500
S 0.242 0.758 0.608
S 0.242 0.758 0.892
Se 0.069 0.931 0.250
Se 0.931 0.069 0.750
Tb 0.134 0.866 0.058
Tb 0.134 0.866 0.442
Tb 0.866 0.134 0.558
Tb 0.866 0.134 0.942
CELL_PARAMETERS angstrom
6.777 0.070 -2.590
-7.114 -0.037 -1.425
-0.097 14.009 0.125

No. 13
! SmSbPO GGA-PBE optimized geometry; values from VASP
! - ρ (g/cm3) = 6.286
! - M_tot (μB per formula unit) = 0.003
! - uncorrected energy (eV/atom) = -6.09
! - distance to the lowest polymorph of the same formula (eV/f.u.) = 0.000
&SYSTEM
  ibrav = 0, nat = 8, ntyp = 4
/
ATOMIC_SPECIES
O 16.00 O.upf
P 30.97 P.upf
Sb 121.76 Sb.upf
Sm 150.36 Sm.upf
ATOMIC_POSITIONS crystal
O 0.000 0.000 0.000
O 0.500 0.500 0.000
P 0.500 0.000 0.275
P 0.000 0.500 0.725
Sb 0.000 0.000 0.500
Sb 0.500 0.500 0.500
Sm 0.000 0.500 0.109
Sm 0.500 0.000 0.891
CELL_PARAMETERS angstrom
4.094 0.000 0.000
0.000 4.094 0.000
0.000 0.000 10.060

No. 14
! Nd3Re2W3N12 GGA-PBE optimized geometry; values from VASP
! - ρ (g/cm3) = 9.403
! - M_tot (μB per formula unit) = 0.862
! - uncorrected energy (eV/atom) = -9.52
&SYSTEM
  ibrav = 0, nat = 80, ntyp = 4
/
ATOMIC_SPECIES
N 14.01 N.upf
Nd 144.24 Nd.upf
Re 186.21 Re.upf
W 183.84 W.upf
ATOMIC_POSITIONS crystal
N 0.194 0.113 0.013
N 0.320 0.901 0.013
N 0.694 0.680 0.081
N 0.887 0.401 0.081
N 0.613 0.419 0.099
N 0.987 0.680 0.099
N 0.599 0.919 0.113
N 0.013 0.194 0.113
N 0.194 0.581 0.180
N 0.487 0.599 0.180
N 0.581 0.180 0.194
N 0.113 0.013 0.194
N 0.487 0.387 0.306
N 0.320 0.919 0.306
N 0.901 0.013 0.320
N 0.919 0.306 0.320
N 0.306 0.487 0.387
N 0.581 0.901 0.387
N 0.820 0.513 0.401
N 0.081 0.887 0.401
N 0.099 0.613 0.419
N 0.820 0.806 0.419
N 0.599 0.180 0.487
N 0.387 0.306 0.487
N 0.613 0.694 0.513
N 0.401 0.820 0.513
N 0.180 0.194 0.581
N 0.901 0.387 0.581
N 0.919 0.113 0.599
N 0.180 0.487 0.599
N 0.419 0.099 0.613
N 0.694 0.513 0.613
N 0.081 0.694 0.680
N 0.099 0.987 0.680
N 0.680 0.081 0.694
N 0.513 0.613 0.694
N 0.419 0.820 0.806
N 0.887 0.987 0.806
N 0.513 0.401 0.820
N 0.806 0.419 0.820
N 0.401 0.081 0.887
N 0.987 0.806 0.887
N 0.013 0.320 0.901
N 0.387 0.581 0.901
N 0.306 0.320 0.919
N 0.113 0.599 0.919
N 0.680 0.099 0.987
N 0.806 0.887 0.987
Nd 0.250 0.375 0.125
Nd 0.375 0.750 0.125
Nd 0.375 0.125 0.250
Nd 0.875 0.625 0.250
Nd 0.750 0.125 0.375
Nd 0.125 0.250 0.375
Nd 0.875 0.750 0.625
Nd 0.250 0.875 0.625
Nd 0.125 0.375 0.750
Nd 0.625 0.875 0.750
Nd 0.625 0.250 0.875
Nd 0.750 0.625 0.875
Re 0.000 0.000 0.000
Re 0.500 0.000 0.000
Re 0.000 0.500 0.000
Re 0.500 0.500 0.000
Re 0.000 0.000 0.500
Re 0.500 0.000 0.500
Re 0.000 0.500 0.500
Re 0.500 0.500 0.500
W 0.875 0.250 0.125
W 0.750 0.875 0.125
W 0.625 0.375 0.250
W 0.125 0.875 0.250
W 0.250 0.625 0.375
W 0.625 0.750 0.375
W 0.375 0.250 0.625
W 0.750 0.375 0.625
W 0.875 0.125 0.750
W 0.375 0.625 0.750
W 0.250 0.125 0.875
W 0.125 0.750 0.875
CELL_PARAMETERS angstrom
10.215 -0.416 -4.536
0.696 4.095 10.385
-4.352 -10.298 0.337

No. 15
! TaTe4 GGA-PBE optimized geometry; values from VASP
! - ρ (g/cm3) = 7.541
! - M_tot (μB per formula unit) = 0.000
! - uncorrected energy (eV/atom) = -5.15
&SYSTEM
  ibrav = 0, nat = 60, ntyp = 2
/
ATOMIC_SPECIES
Ta 180.95 Ta.upf
Te 127.60 Te.upf
ATOMIC_POSITIONS crystal
Ta 0.750 0.750 0.068
Ta 0.250 0.250 0.085
Ta 0.250 0.250 0.237
Ta 0.750 0.750 0.263
Ta 0.750 0.750 0.415
Ta 0.250 0.250 0.432
Ta 0.750 0.750 0.568
Ta 0.250 0.250 0.585
Ta 0.250 0.250 0.737
Ta 0.750 0.750 0.763
Ta 0.750 0.750 0.915
Ta 0.250 0.250 0.932
Te 0.158 0.013 0.004
Te 0.487 0.158 0.004
Te 0.013 0.342 0.004
Te 0.342 0.487 0.004
Te 0.335 0.009 0.165
Te 0.009 0.165 0.165
Te 0.491 0.335 0.165
Te 0.165 0.491 0.165
Te 0.846 0.536 0.166
Te 0.536 0.654 0.166
Te 0.964 0.846 0.166
Te 0.654 0.964 0.166
Te 0.154 0.036 0.334
Te 0.464 0.154 0.334
Te 0.036 0.346 0.334
Te 0.346 0.464 0.334
Te 0.665 0.509 0.335
Te 0.991 0.665 0.335
Te 0.509 0.835 0.335
Te 0.835 0.991 0.335
Te 0.842 0.513 0.496
Te 0.513 0.658 0.496
Te 0.987 0.842 0.496
Te 0.658 0.987 0.496
Te 0.342 0.013 0.504
Te 0.013 0.158 0.504
Te 0.487 0.342 0.504
Te 0.158 0.487 0.504
Te 0.165 0.009 0.665
Te 0.491 0.165 0.665
Te 0.009 0.335 0.665
Te 0.335 0.491 0.665
Te 0.654 0.536 0.666
Te 0.964 0.654 0.666
Te 0.536 0.846 0.666
Te 0.846 0.964 0.666
Te 0.346 0.036 0.834
Te 0.036 0.154 0.834
Te 0.464 0.346 0.834
Te 0.154 0.464 0.834
Te 0.835 0.509 0.835
Te 0.509 0.665 0.835
Te 0.991 0.835 0.835
Te 0.665 0.991 0.835
Te 0.658 0.513 0.996
Te 0.987 0.658 0.996
Te 0.513 0.842 0.996
Te 0.842 0.987 0.996
CELL_PARAMETERS angstrom
9.356 0.000 0.000
0.000 9.356 0.000
0.000 0.000 20.870

No. 16
! Zn2TcGeAs4 GGA-PBE optimized geometry; values from VASP
! - ρ (g/cm3) = 5.375
! - M_tot (μB per formula unit) = 0.089
! - uncorrected energy (eV/atom) = -4.50
&SYSTEM
  ibrav = 0, nat = 8, ntyp = 4
/
ATOMIC_SPECIES
As 74.92 As.upf
Ge 72.64 Ge.upf
Tc 98.00 Tc.upf
Zn 65.41 Zn.upf
ATOMIC_POSITIONS crystal
As 0.630 0.131 0.018
As 0.869 0.888 0.499
As 0.388 0.370 0.501
As 0.112 0.612 0.982
Ge 0.000 0.000 0.000
Tc 0.750 0.250 0.500
Zn 0.500 0.500 0.000
Zn 0.250 0.750 0.500
CELL_PARAMETERS angstrom
-2.869 2.869 5.642
2.869 -2.869 5.642
2.869 2.869 -5.642

No. 17
! ScZnAu4 GGA-PBE optimized geometry; values from VASP
! - ρ (g/cm3) = 12.801
! - M_tot (μB per formula unit) = 0.008
! - uncorrected energy (eV/atom) = -3.67
! - formation energy (eV/atom) = -0.223
&SYSTEM
  ibrav = 0, nat = 6, ntyp = 3
/
ATOMIC_SPECIES
Au 196.97 Au.upf
Sc 44.96 Sc.upf
Zn 65.41 Zn.upf
ATOMIC_POSITIONS crystal
Au 0.625 0.625 0.125
Au 0.625 0.125 0.625
Au 0.125 0.625 0.625
Au 0.625 0.625 0.625
Sc 0.250 0.250 0.250
Zn 0.999 0.999 0.999
CELL_PARAMETERS angstrom
-3.085 -2.545 3.750
-2.827 2.931 3.670
-5.467 0.253 -0.319